SmErBeZn PBE optimized geometry; symmetry = F-43m (216); ΔE_f = -33 kJ/mol of formula units; DOS(E_F) = 1.1425 states/eV per atom; ρ = 7.5 g cm⁻³; electronic total energy = -14.62 eV per cell
1.0
4.973 0.000 0.000
2.487 4.307 0.000
2.487 1.436 4.061
Be Zn Sm Er
1 1 1 1
Cartesian
4.973 2.871 2.030 Be
0.000 0.000 0.000 Zn
2.487 1.436 1.015 Sm
7.460 4.307 3.045 Er

Ca2ZnSi PBE optimized geometry; symmetry = Pmmm (47); raw formation energy = -0.2823 eV per atom; DOS(E_F) = 0.4752 states/eV per atom; ρ = 3.0 g cm⁻³; distance to the lowest polymorph of the same formula = 118.2 meV per atom; electronic total energy = -11.83 eV per cell
1.0
-3.393 0.727 0.733
-0.990 -1.381 -3.212
-1.749 -8.048 -0.119
Ca Zn Si
2 1 1
Cartesian
-1.365 -4.672 -1.686 Ca
-0.994 -1.424 -3.192 Ca
-3.751 -6.709 -2.132 Zn
-2.381 -1.994 -0.466 Si

In2SiBr PBE optimized geometry; symmetry = Immm (71); raw formation energy = 0.1651 eV per atom; DOS(E_F) = 0.4350 states/eV per atom; ρ = 5.5 g cm⁻³; distance to the lowest polymorph of the same formula = 211.9 meV per atom; electronic total energy = -11.91 eV per cell
1.0
-6.488 1.129 1.999
-5.383 -1.149 4.132
-0.197 3.361 3.692
In Si Br
2 1 1
Cartesian
-0.797 3.189 3.819 In
-5.434 1.842 4.784 In
-9.051 2.505 7.367 Si
-3.017 0.835 2.456 Br

CsBAsSe2 PBE optimized geometry; symmetry = P4/mmm (123); raw formation energy = 0.4294 eV per atom; DOS(E_F) = 0.8606 states/eV per atom; ρ = 5.3 g cm⁻³; electronic total energy = -17.00 eV per cell
1.0
-0.076 -4.696 -2.188
3.791 -1.542 3.179
-2.973 -1.308 2.911
B Se As Cs
1 2 1 1
Cartesian
0.000 0.000 0.000 B
1.895 -0.771 1.589 Se
-0.038 -2.348 -1.094 Se
-1.487 -0.654 1.456 As
0.371 -3.773 1.951 Cs

SmGdSc PBE optimized geometry; symmetry = I4mm (107); ΔE_f = 15 kJ/mol of formula units; DOS(E_F) = 1.6848 states/eV per atom; ρ = 6.5 g cm⁻³; distance to the lowest polymorph of the same formula = 0.0 meV per atom; electronic total energy = -24.98 eV per cell
1.0
3.530 0.000 0.000
0.000 3.530 0.000
-1.765 -1.765 7.257
Sm Gd Sc
1 1 1
Cartesian
0.000 0.000 0.094 Sm
0.000 0.000 4.749 Gd
1.765 1.765 2.414 Sc

Ho2GaGe4Pd3 PBE optimized geometry; symmetry = P-4m2 (115); ΔE_f = -661 kJ/mol of formula units; DOS(E_F) = 0.3354 states/eV per atom; ρ = 9.0 g cm⁻³; electronic total energy = -53.08 eV per cell
1.0
-2.128 1.033 3.284
-3.418 -0.178 -2.159
-1.138 -10.937 2.704
Ge Pd Ga Ho
4 3 1 2
Cartesian
-1.796 -6.517 3.381 Ge
0.000 0.000 0.000 Ge
-2.773 0.428 0.562 Ge
-2.115 -3.992 -0.114 Ge
-0.569 -5.468 1.352 Pd
-2.040 -8.862 3.961 Pd
-1.871 -1.647 -0.694 Pd
-3.342 -5.041 1.914 Ga
-2.556 -8.233 0.934 Ho
-1.354 -2.276 2.332 Ho

Pr2DyUAs4 PBE optimized geometry; symmetry = P2/m (10); ΔE_f = -1012 kJ/mol of formula units; DOS(E_F) = 1.0628 states/eV per atom; ρ = 7.8 g cm⁻³; electronic total energy = -54.53 eV per cell
1.0
-3.651 -2.023 -0.289
1.112 -0.990 -7.114
2.827 -5.625 3.664
As Dy Pr U
4 1 2 1
Cartesian
1.489 -2.054 -4.425 As
-0.885 -2.578 -1.060 As
1.173 -6.061 -2.680 As
2.450 -4.561 0.975 As
0.000 0.000 0.000 Dy
-0.412 -3.824 1.687 Pr
1.970 -3.308 -1.725 Pr
-1.270 -1.507 -3.702 U

DyHo2OsC2 PBE optimized geometry; symmetry = Pnnm (58); ΔE_f = -137 kJ/mol of formula units; DOS(E_F) = 0.6582 states/eV per atom; ρ = 10.4 g cm⁻³; electronic total energy = -89.71 eV per cell
1.0
3.698 0.000 0.000
0.000 5.566 0.000
0.000 0.000 10.974
C Dy Ho Os
4 2 4 2
Cartesian
1.849 1.279 6.807 C
0.000 1.504 1.320 C
1.849 4.287 4.167 C
0.000 4.062 9.654 C
1.849 2.783 0.000 Dy
0.000 0.000 5.487 Dy
1.849 0.249 2.264 Ho
1.849 5.317 8.710 Ho
0.000 2.534 7.751 Ho
0.000 3.032 3.223 Ho
0.000 0.000 0.000 Os
1.849 2.783 5.487 Os